A plane-wave DFT calculation with GGA-PBE was carried out for CaHAuSeClF after structural relaxation.

a = 6.8466 Å, b = 6.8466 Å, c = 3.9950 Å
α = 97.66°, β = 97.66°, γ = 53.73°
Sites, in units of the cell vectors:
Ca 0.0000 0.0000 0.0000
H 0.7052 0.7052 0.9796
Au 0.6319 0.6319 0.6185
Se 0.5021 0.5021 0.0323
Cl 0.8179 0.8179 0.4424
F 0.0740 0.0740 0.5347

Values from the calculation:
The value obtained for the density is 4.13 g/cm³. The calculation puts the volume at 149 Å³ per cell. For the total energy, the calculation gives -3.966 eV/atom. For the density of states at the Fermi level, the calculation gives 0.000 states/eV per atom.